No. 1
Below is crystalline BaSiRh2 at its relaxed geometry, with properties calculated at the PBE level.

```
data_BaSiRh2
_space_group_name_H-M_alt 'P 1'
_space_group_IT_number 1
_cell_length_a 4.069
_cell_length_b 4.061
_cell_length_c 5.638
_cell_angle_alpha 90.07
_cell_angle_beta 90.00
_cell_angle_gamma 90.00
loop_
_space_group_symop_operation_xyz
'x,y,z'
loop_
_atom_site_label
_atom_site_fract_x
_atom_site_fract_y
_atom_site_fract_z
Ba1 0.500 0.876 0.712
Rh1 0.000 0.875 0.195
Rh2 0.500 0.375 0.196
Si1 0.000 0.375 0.396
```

Summary:
VASP energy in eV for the cell shown: -23.51
Crystal system: monoclinic
SG: No. 6



No. 2
Below is crystalline Sm2Zn2Ni5Ge at its relaxed geometry, with properties calculated at the PBE level.

```
data_Sm2Zn2Ni5Ge
_space_group_name_H-M_alt 'P 1'
_space_group_IT_number 1
_cell_length_a 3.446
_cell_length_b 9.525
_cell_length_c 9.525
_cell_angle_alpha 90.00
_cell_angle_beta 90.00
_cell_angle_gamma 90.00
loop_
_space_group_symop_operation_xyz
'x,y,z'
loop_
_atom_site_label
_atom_site_fract_x
_atom_site_fract_y
_atom_site_fract_z
Sm1 0.000 0.678 0.178
Sm2 0.000 0.322 0.822
Sm3 0.000 0.178 0.322
Sm4 0.000 0.822 0.678
Zn1 0.000 0.120 0.620
Zn2 0.000 0.880 0.380
Zn3 0.000 0.620 0.880
Zn4 0.000 0.380 0.120
Ni1 0.500 0.197 0.053
Ni2 0.500 0.803 0.947
Ni3 0.500 0.053 0.803
Ni4 0.500 0.697 0.447
Ni5 0.500 0.947 0.197
Ni6 0.500 0.303 0.553
Ni7 0.500 0.553 0.697
Ni8 0.500 0.447 0.303
Ni9 0.500 0.500 0.000
Ni10 0.500 0.000 0.500
Ge1 0.000 0.000 0.000
Ge2 0.000 0.500 0.500
```

Summary:
VASP energy in eV for the cell shown: -95.85
Crystal system: tetragonal
ΔE_f in eV/atom: -0.24
SG: No. 127



No. 3
Below is crystalline K2BePb at its relaxed geometry, with properties calculated at the PBE level.

```
data_K2BePb
_space_group_name_H-M_alt 'P 1'
_space_group_IT_number 1
_cell_length_a 4.533
_cell_length_b 4.922
_cell_length_c 5.694
_cell_angle_alpha 90.00
_cell_angle_beta 90.00
_cell_angle_gamma 90.00
loop_
_space_group_symop_operation_xyz
'x,y,z'
loop_
_atom_site_label
_atom_site_fract_x
_atom_site_fract_y
_atom_site_fract_z
Pb1 0.500 0.000 0.500
Be1 0.000 0.500 0.500
K1 0.000 0.000 0.000
K2 0.500 0.500 0.000
```

Summary:
VASP energy in eV for the cell shown: -7.35
Polymorph energy (0 for the lowest one) in eV per atom: 0.403
Crystal system: orthorhombic
ΔE_f in eV/atom: 0.57
SG: No. 47



No. 4
Below is crystalline Fe2NiGeH at its relaxed geometry, with properties calculated at the PBE level.

```
data_Fe2NiGeH
_space_group_name_H-M_alt 'P 1'
_space_group_IT_number 1
_cell_length_a 3.606
_cell_length_b 3.606
_cell_length_c 3.786
_cell_angle_alpha 90.00
_cell_angle_beta 90.00
_cell_angle_gamma 90.00
loop_
_space_group_symop_operation_xyz
'x,y,z'
loop_
_atom_site_label
_atom_site_fract_x
_atom_site_fract_y
_atom_site_fract_z
Ni1 0.000 0.000 0.500
Ge1 0.500 0.500 0.500
Fe1 0.000 0.500 0.000
Fe2 0.500 0.000 0.000
H1 0.000 0.000 0.000
```

Summary:
VASP energy in eV for the cell shown: -31.11
Crystal system: tetragonal
SG: No. 123



No. 5
Below is crystalline DyAlGaNi3 at its relaxed geometry, with properties calculated at the PBE level.

```
data_DyAlGaNi3
_space_group_name_H-M_alt 'P 1'
_space_group_IT_number 1
_cell_length_a 5.332
_cell_length_b 6.050
_cell_length_c 6.650
_cell_angle_alpha 117.06
_cell_angle_beta 90.00
_cell_angle_gamma 90.00
loop_
_space_group_symop_operation_xyz
'x,y,z'
loop_
_atom_site_label
_atom_site_fract_x
_atom_site_fract_y
_atom_site_fract_z
Dy1 0.750 0.295 0.590
Dy2 0.250 0.705 0.410
Al1 0.250 0.950 0.901
Al2 0.750 0.050 0.099
Ga1 0.250 0.359 0.718
Ga2 0.750 0.641 0.282
Ni1 0.250 0.153 0.306
Ni2 0.000 0.303 0.000
Ni3 0.500 0.697 0.000
Ni4 0.500 0.303 0.000
Ni5 0.000 0.697 0.000
Ni6 0.750 0.847 0.694
```

Summary:
VASP energy in eV for the cell shown: -61.39
Crystal system: orthorhombic
ΔE_f in eV/atom: -0.33
SG: No. 63



No. 6
Below is crystalline GaSnBr4 at its relaxed geometry, with properties calculated at the PBE level.

```
data_GaSnBr4
_space_group_name_H-M_alt 'P 1'
_space_group_IT_number 1
_cell_length_a 5.834
_cell_length_b 5.839
_cell_length_c 7.494
_cell_angle_alpha 113.27
_cell_angle_beta 112.29
_cell_angle_gamma 90.83
loop_
_space_group_symop_operation_xyz
'x,y,z'
loop_
_atom_site_label
_atom_site_fract_x
_atom_site_fract_y
_atom_site_fract_z
Ga1 0.376 0.457 0.000
Sn1 0.675 0.163 0.500
Br1 0.205 0.190 0.562
Br2 0.634 0.637 0.438
Br3 0.434 0.905 0.015
Br4 0.926 0.398 0.984
```

Summary:
VASP energy in eV for the cell shown: -17.50
Polymorph energy (0 for the lowest one) in eV per atom: 0.004
Crystal system: triclinic
SG: No. 1